VASP calculation (PBE) on a relaxed NaLi3Tl3 crystal.

Unit cell a=7.011 b=7.011 c=6.793 alpha=90.01 beta=90.01 gamma=94.20
Positions (direct):
1 Li 0.233 0.767 0.000
2 Li 0.739 0.261 0.500
3 Li 0.285 0.285 0.500
4 Li 0.715 0.715 0.500
5 Li 0.261 0.739 0.500
6 Li 0.767 0.233 0.000
7 Tl 0.500 0.000 0.257
8 Tl 0.500 0.000 0.743
9 Tl 0.000 0.500 0.257
10 Tl 0.000 0.000 0.744
11 Tl 0.000 0.000 0.256
12 Tl 0.000 0.500 0.743
13 Na 0.319 0.319 0.000
14 Na 0.681 0.681 0.000

V = 333 Å³ per cell
electronic total energy = -2.16 eV per atom
E above lowest polymorph = 0.000 eV/atom
D(E_F) = 0.340 states/eV/atom
calculated formation energy = -140 meV per atom